DFT (GGA-PBE) results for AgAsI3 after structural relaxation.

Lattice parameters (Å, degrees): 5.717 5.717 5.717 90.00 90.00 90.00
Sites, in units of the cell vectors:
Ag 0.000 0.000 0.000
As 0.500 0.500 0.500
I 0.000 0.500 0.500
I 0.500 0.000 0.500
I 0.500 0.500 0.000

## Properties
- Density: 5007 kg/m³
- Raw formation energy: 243 meV per atom
- Density of states at the Fermi level: 0.344 states/eV per atom
- Space group: Pm-3m (221)
- VASP energy: -0.080 Ha/atom
- Distance to the lowest polymorph of the same formula: 0.379 eV/atom